First-principles (PBE-GGA) data for an optimized crystal structure of MnCrI2, as listed in Alexandria.

a = 5.8146 Å, b = 5.8146 Å, c = 7.1011 Å
α = 65.83°, β = 65.83°, γ = 90.00°
Element x y z (fractional)
Cr 0.5000 0.5000 0.0000
I 0.1190 0.6250 0.2500
Cr 0.2500 0.7500 0.5000
Mn 0.7500 0.2500 0.5000
I 0.3750 0.3690 0.7500
I 0.6310 0.1250 0.2500
I 0.8750 0.8810 0.7500
Mn 0.0000 0.0000 0.0000

Calculated values
Energy above the lowest structure with this stoichiometry = 0 meV/atom
Calculated volume = 195.7 Å³ per cell
Raw formation energy = 1.08 eV per atom

***

First-principles (PBE-GGA) data for an optimized crystal structure of PmGa2Co, as listed in Alexandria.

a = 4.0830 Å, b = 4.0830 Å, c = 10.5007 Å
α = 90.00°, β = 90.00°, γ = 120.00°
Element x y z (fractional)
Ga 0.3333 0.6667 0.5655
Co 0.0000 0.0000 0.5000
Co 0.0000 0.0000 0.0000
Ga 0.6667 0.3333 0.0655
Ga 0.6667 0.3333 0.4345
Pm 0.3333 0.6667 0.2500
Ga 0.3333 0.6667 0.9345
Pm 0.6667 0.3333 0.7500

Calculated values
Energy above the lowest structure with this stoichiometry = 49 meV/atom
Calculated volume = 151.6 Å³ per cell

***

Q: The lowest energy above the lowest structure with this stoichiometry belongs to which entry?
A: MnCrI2